1.
Gd2TmPa | PBE-GGA | optimized geometry

Lattice parameters (Å, degrees): 4.8964 4.8964 4.8948 90.00 90.00 90.00
With the nearest neighbours (Å) after each atom.
Space group P4/mmm (No. 123)
Asymmetric unit:
Gd 0.0000 0.5000 0.0000  4 Pa 3.46, 4 Tm 3.46, 4 Gd 3.46
Tm 0.0000 0.0000 0.5000  8 Gd 3.46, 4 Pa 3.46
Pa 0.5000 0.5000 0.5000  8 Gd 3.46, 4 Tm 3.46

Summary:
Total magnetization ... 3.4271 μB/atom
Crystal system ... tetragonal
Relative energy among the computed polymorphs ... 0.36 eV/f.u.

2.
GdYPa | PBE-GGA | optimized geometry

Lattice parameters (Å, degrees): 3.4373 3.4373 8.5696 90.00 90.00 120.00
With the nearest neighbours (Å) after each atom.
Space group P3m1 (No. 156)
Asymmetric unit:
Gd 0.0000 0.0000 0.0000  3 Pa 3.36, 6 Gd 3.44, 3 Y 3.70
Y 0.3333 0.6667 0.6361  3 Pa 3.38, 6 Y 3.44, 3 Gd 3.70
Pa 0.6667 0.3333 0.3167  3 Gd 3.36, 3 Y 3.38, 6 Pa 3.44

Summary:
Total magnetization ... 2.3967 μB/atom
Crystal system ... trigonal
Relative energy among the computed polymorphs ... 0.00 eV/f.u.

3.
GdYPa | PBE-GGA | optimized geometry

Lattice parameters (Å, degrees): 3.4077 3.4077 15.2296 90.00 90.00 90.00
With the nearest neighbours (Å) after each atom.
Space group I4mm (No. 107)
Asymmetric unit:
Gd 0.0000 0.0000 0.0000  4 Pa 3.37, 4 Gd 3.41, 4 Y 3.75
Y 0.0000 0.0000 0.3109  4 Pa 3.39, 4 Y 3.41, 4 Gd 3.75
Pa 0.0000 0.0000 0.6544  4 Gd 3.37, 4 Y 3.39, 4 Pa 3.41

Summary:
Total magnetization ... 2.2996 μB/atom
Crystal system ... tetragonal
Relative energy among the computed polymorphs ... 0.07 eV/f.u.

4.
GdPb | PBE-GGA | optimized geometry

Lattice parameters (Å, degrees): 3.8811 3.8811 3.8811 90.00 90.00 90.00
With the nearest neighbours (Å) after each atom.
Space group Pm-3m (No. 221)
Asymmetric unit:
Gd 0.0000 0.0000 0.0000  8 Pb 3.36
Pb 0.5000 0.5000 0.5000  8 Gd 3.36

Summary:
Total magnetization ... 3.6559 μB/atom
Crystal system ... cubic
Calculated total energy ... -0.34327 Ha/atom

5.
Gd5Pb3 | PBE-GGA | optimized geometry

Lattice parameters (Å, degrees): 9.1977 9.1977 6.6351 90.00 90.00 120.00
With the nearest neighbours (Å) after each atom.
Space group P6_3/mcm (No. 193)
Asymmetric unit:
Gd 0.0000 0.2394 0.2500  3 Pb 3.16-3.38
Gd 0.3333 0.6667 0.0000  6 Pb 3.28, 2 Gd 3.32
Pb 0.0000 0.3934 0.7500  7 Gd 3.16-3.38

Summary:
Total magnetization ... 0.9020 μB/atom
Crystal system ... hexagonal
Calculated total energy ... -0.39445 Ha/atom

6.
GdPb6 | PBE-GGA | optimized geometry

Lattice parameters (Å, degrees): 8.5331 8.5331 8.5331 90.00 90.00 90.00
With the nearest neighbours (Å) after each atom.
Space group Im-3m (No. 229)
Asymmetric unit:
Gd 0.0000 0.0000 0.0000  24 Pb 4.77
Pb 0.0000 0.2500 0.5000  4 Pb 3.02

Summary:
Total magnetization ... 1.0605 μB/atom
Crystal system ... cubic
Calculated total energy ... -0.17028 Ha/atom

7.
Gd5Pb | PBE-GGA | optimized geometry

Lattice parameters (Å, degrees): 5.7559 11.2897 5.7300 90.00 90.00 90.00
With the nearest neighbours (Å) after each atom.
Space group Cmmm (No. 65)
Asymmetric unit:
Gd 0.0000 0.0000 0.0000  8 Gd 3.38-3.41
Gd 0.0000 0.1596 0.5000  7 Gd 3.38-3.60, 2 Pb 3.40
Gd 0.0000 0.3384 0.0000  2 Pb 3.40, 7 Gd 3.41-3.65
Pb 0.0000 0.5000 0.5000  8 Gd 3.40

Summary:
Total magnetization ... 6.2930 μB/atom
Crystal system ... orthorhombic
Calculated total energy ... -0.45808 Ha/atom

8.
GdPb | PBE-GGA | optimized geometry

Lattice parameters (Å, degrees): 6.3674 6.3674 6.3674 90.00 90.00 90.00
With the nearest neighbours (Å) after each atom.
Space group Fm-3m (No. 225)
Asymmetric unit:
Gd 0.0000 0.0000 0.0000  6 Pb 3.18
Pb 0.0000 0.0000 0.5000  6 Gd 3.18

Summary:
Total magnetization ... 3.5753 μB/atom
Crystal system ... cubic
Calculated total energy ... -0.33950 Ha/atom

9.
GdPb2 | PBE-GGA | optimized geometry

Lattice parameters (Å, degrees): 3.9942 3.9942 11.1166 90.00 90.00 90.00
With the nearest neighbours (Å) after each atom.
Space group I4/mmm (No. 139)
Asymmetric unit:
Gd 0.0000 0.0000 0.0000  10 Pb 3.42-3.63
Pb 0.0000 0.0000 0.3269  4 Pb 3.30, 5 Gd 3.42-3.63

Summary:
Total magnetization ... 2.5987 μB/atom
Crystal system ... tetragonal
Calculated total energy ... -0.27200 Ha/atom

10.
GdPb2 | PBE-GGA | optimized geometry

Lattice parameters (Å, degrees): 9.1085 9.1085 9.1085 90.00 90.00 90.00
With the nearest neighbours (Å) after each atom.
Space group Fd-3m (No. 227, origin choice 2)
Asymmetric unit:
Gd 0.1250 0.1250 0.1250  12 Pb 3.78, 4 Gd 3.94
Pb 0.0000 0.0000 0.5000  6 Pb 3.22

Summary:
Total magnetization ... 2.5653 μB/atom
Crystal system ... cubic
Calculated total energy ... -0.26874 Ha/atom

11.
GdPb | PBE-GGA | optimized geometry

Lattice parameters (Å, degrees): 4.5712 4.4735 6.3072 90.00 111.19 90.00
With the nearest neighbours (Å) after each atom.
Space group P2_1/m (No. 11)
Asymmetric unit:
Gd 0.1292 0.2500 0.2597  7 Pb 3.18-3.54
Pb 0.4009 0.2500 0.8002  7 Gd 3.18-3.54, 2 Pb 3.24

Summary:
Total magnetization ... 3.6063 μB/atom
Crystal system ... monoclinic
Calculated total energy ... -0.34561 Ha/atom

12.
Gd2PdPb | PBE-GGA | optimized geometry

Lattice parameters (Å, degrees): 3.5842 3.5842 7.9426 90.00 90.00 90.00
With the nearest neighbours (Å) after each atom.
Space group P4/mmm (No. 123)
Asymmetric unit:
Gd 0.0000 0.0000 0.2172  4 Pd 3.07, 4 Pb 3.39
Pd 0.5000 0.5000 0.0000  8 Gd 3.07
Pb 0.5000 0.5000 0.5000  8 Gd 3.39, 4 Pb 3.58

Summary:
Total magnetization ... 3.5864 μB/atom
Crystal system ... tetragonal
Relative energy among the computed polymorphs ... 0.00 eV/f.u.